Entry 1:
Entry from Alexandria: CsRe2Te after structural relaxation (PBE).

a b c (Å): 3.973 4.721 15.174
angles (deg): 92.68 95.22 114.87
Fractional coordinates of all 8 atoms:
Cs 0.191 0.144 0.842
Cs 0.809 0.856 0.158
Re 0.470 0.887 0.576
Re 0.530 0.113 0.424
Re 0.841 0.707 0.463
Re 0.159 0.293 0.537
Te 0.194 0.507 0.331
Te 0.806 0.493 0.669

Summary:
ΔE_f (raw) (eV/atom): 0.20
Space-group type: No. 2


Entry 2:
Entry from Alexandria: YCoSn2 after structural relaxation (PBE).

a b c (Å): 3.646 6.033 9.819
angles (deg): 120.18 100.68 90.10
Fractional coordinates of all 8 atoms:
Y 0.697 0.628 0.971
Y 0.964 0.931 0.500
Co 0.202 0.998 0.978
Co 0.458 0.562 0.493
Sn 0.346 0.066 0.268
Sn 0.050 0.546 0.675
Sn 0.611 0.014 0.796
Sn 0.315 0.494 0.203

Summary:
ΔE_f (eV per atom): -0.294
Space-group type: No. 2


Entry 3:
Entry from Alexandria: TaB3O after structural relaxation (PBE).

a b c (Å): 3.565 3.565 3.565
angles (deg): 90.00 90.00 90.00
Fractional coordinates of all 5 atoms:
B 0.000 0.500 0.000
B 0.000 0.000 0.500
B 0.500 0.000 0.000
O 0.000 0.000 0.000
Ta 0.500 0.500 0.500

Summary:
ΔE_f (raw) (eV/atom): 0.89
Space-group type: No. 221


Entry 4:
Entry from Alexandria: PtAu after structural relaxation (PBE).

a b c (Å): 8.196 15.044 4.729
angles (deg): 90.00 90.00 90.00
Fractional coordinates of all 32 atoms:
Pt 0.000 0.914 0.000
Pt 0.000 0.086 0.000
Pt 0.250 0.836 0.250
Pt 0.250 0.664 0.250
Pt 0.000 0.414 0.500
Pt 0.000 0.586 0.500
Pt 0.250 0.336 0.750
Pt 0.250 0.164 0.750
Pt 0.500 0.914 0.500
Pt 0.500 0.086 0.500
Pt 0.750 0.836 0.750
Pt 0.750 0.664 0.750
Pt 0.500 0.414 0.000
Pt 0.500 0.586 0.000
Pt 0.750 0.336 0.250
Pt 0.750 0.164 0.250
Au 0.666 0.000 0.000
Au 0.334 0.000 0.000
Au 0.584 0.750 0.250
Au 0.916 0.750 0.250
Au 0.666 0.500 0.500
Au 0.334 0.500 0.500
Au 0.584 0.250 0.750
Au 0.916 0.250 0.750
Au 0.166 0.000 0.500
Au 0.834 0.000 0.500
Au 0.084 0.750 0.750
Au 0.416 0.750 0.750
Au 0.166 0.500 0.000
Au 0.834 0.500 0.000
Au 0.084 0.250 0.250
Au 0.416 0.250 0.250

Summary:
ΔE_f (eV per atom): 0.187
Space-group type: No. 70


Entry 5:
Entry from Alexandria: BeVCo after structural relaxation (PBE).

a b c (Å): 2.691 2.691 4.728
angles (deg): 106.53 106.53 90.00
Fractional coordinates of all 3 atoms:
Be 0.967 0.967 0.935
Co 0.601 0.601 0.203
V 0.281 0.281 0.562

Summary:
ΔE_f (eV per atom): -0.173
Space-group type: No. 107


Entry 6:
Entry from Alexandria: NdGdThMg after structural relaxation (PBE).

a b c (Å): 5.601 5.601 5.601
angles (deg): 60.00 60.00 60.00
Fractional coordinates of all 4 atoms:
Mg 0.000 0.000 0.000
Gd 0.250 0.250 0.250
Nd 0.750 0.750 0.750
Th 0.500 0.500 0.500

Summary:
ΔE_f (eV per atom): 0.146
Space-group type: No. 216


Entry 7:
Entry from Alexandria: LiMg2AlS4 after structural relaxation (PBE).

a b c (Å): 6.369 6.781 8.040
angles (deg): 90.00 90.00 90.00
Fractional coordinates of all 16 atoms:
Li 0.994 0.160 0.500
Li 0.494 0.840 0.000
Mg 0.498 0.326 0.252
Mg 0.498 0.326 0.748
Mg 0.998 0.674 0.752
Mg 0.998 0.674 0.248
Al 0.499 0.826 0.500
Al 0.999 0.174 0.000
S 0.356 0.176 0.000
S 0.856 0.824 0.500
S 0.382 0.143 0.500
S 0.882 0.857 0.000
S 0.386 0.675 0.736
S 0.886 0.325 0.236
S 0.886 0.325 0.764
S 0.386 0.675 0.264

Summary:
ΔE_f (raw) (eV/atom): -1.36
Space-group type: No. 31


Entry 8:
Entry from Alexandria: Be3CoOs after structural relaxation (PBE).

a b c (Å): 3.761 3.761 3.761
angles (deg): 90.00 90.00 90.00
Fractional coordinates of all 5 atoms:
Co 0.000 0.000 0.000
Os 0.500 0.500 0.500
Be 0.000 0.500 0.000
Be 0.000 0.000 0.500
Be 0.500 0.000 0.000

Summary:
ΔE_f (eV per atom): 0.701
Space-group type: No. 221


Entry 9:
Entry from Alexandria: CaBS2Cl after structural relaxation (PBE).

a b c (Å): 4.214 4.214 5.006
angles (deg): 90.00 90.00 90.00
Fractional coordinates of all 5 atoms:
Ca 0.500 0.500 0.500
B 0.000 0.000 0.000
S 0.000 0.500 0.000
S 0.500 0.000 0.000
Cl 0.000 0.000 0.500

Summary:
ΔE_f (raw) (eV/atom): -0.47
Space-group type: No. 123


Entry 10:
Entry from Alexandria: Dy8GaPt2 after structural relaxation (PBE).

a b c (Å): 5.537 7.906 7.906
angles (deg): 114.14 98.61 98.61
Fractional coordinates of all 11 atoms:
Pt 0.497 0.698 0.309
Pt 0.497 0.309 0.698
Ga 0.059 0.004 0.004
Dy 0.579 0.334 0.083
Dy 0.579 0.083 0.334
Dy 0.188 0.386 0.386
Dy 0.996 0.234 0.766
Dy 0.996 0.766 0.234
Dy 0.808 0.627 0.627
Dy 0.400 0.923 0.670
Dy 0.400 0.670 0.923

Summary:
ΔE_f (eV per atom): -0.494
Space-group type: No. 8


Entry 11:
Entry from Alexandria: LiNd2Si after structural relaxation (PBE).

a b c (Å): 4.514 6.377 7.337
angles (deg): 107.61 90.00 90.00
Fractional coordinates of all 8 atoms:
Li 0.250 0.403 0.304
Li 0.750 0.597 0.696
Nd 0.750 0.145 0.397
Nd 0.250 0.855 0.603
Nd 0.250 0.757 0.068
Nd 0.750 0.243 0.932
Si 0.750 0.633 0.311
Si 0.250 0.367 0.689

Summary:
ΔE_f (raw) (eV/atom): -0.35
Space-group type: No. 11


Entry 12:
Entry from Alexandria: Sr2Sn2Te after structural relaxation (PBE).

a b c (Å): 8.906 8.906 4.847
angles (deg): 90.00 90.00 90.00
Fractional coordinates of all 10 atoms:
Sr 0.311 0.811 0.000
Sr 0.811 0.689 0.000
Sr 0.689 0.189 0.000
Sr 0.189 0.311 0.000
Te 0.000 0.000 0.000
Te 0.500 0.500 0.000
Sn 0.107 0.607 0.500
Sn 0.607 0.893 0.500
Sn 0.893 0.393 0.500
Sn 0.393 0.107 0.500

Summary:
ΔE_f (raw) (eV/atom): -0.64
Space-group type: No. 127